Record 1
This record from the Alexandria database describes a relaxed structure of DyY5Al6. The functional is PBE-GGA.

The space group is P2/m (No. 10) and the conventional cell measures 5.091, 7.226 and 8.046 Å, with angles of 90.00, 108.24 and 90.00 degrees. The asymmetric unit holds Dy at (0.000, 0.000, 0.000), Y at (0.000, 0.500, 0.000), Y at (0.333, 0.000, 0.667), Y at (0.333, 0.500, 0.667), Al at (0.167, 0.250, 0.333) and Al at (0.500, 0.249, 0.000).

The calculation puts the formation energy at -415 meV/atom.


Record 2
This record from the Alexandria database describes a relaxed structure of Dy14YAl. The functional is PBE-GGA.

The space group is Amm2 (No. 38) and the conventional cell measures 10.783, 8.341 and 10.927 Å, with angles of 90.00, 90.00 and 90.00 degrees. The asymmetric unit holds Dy at (0.000, 0.000, 0.000), Dy at (0.000, 0.000, 0.452), Dy at (0.000, 0.201, 0.729), Dy at (0.225, 0.000, 0.230), Dy at (0.262, 0.205, 0.512), Dy at (0.280, 0.000, 0.791), Dy at (0.500, 0.205, 0.296), Y at (0.500, 0.000, 0.027) and Al at (0.500, 0.000, 0.578).

The calculation puts the formation energy at 3 meV/atom.


Record 3
This record from the Alexandria database describes a relaxed structure of DyYAl4. The functional is PBE-GGA.

The space group is F-43m (No. 216) and the conventional cell measures 7.871, 7.871 and 7.871 Å, with angles of 90.00, 90.00 and 90.00 degrees. The asymmetric unit holds Dy at (0.000, 0.000, 0.000), Y at (0.250, 0.250, 0.750) and Al at (0.125, 0.125, 0.375).

The calculation puts the formation energy at -525 meV/atom.


Record 4
This record from the Alexandria database describes a relaxed structure of Dy2YAl2. The functional is PBE-GGA.

The space group is P2_1/m (No. 11) and the conventional cell measures 5.602, 3.594 and 13.405 Å, with angles of 90.00, 96.04 and 90.00 degrees. The asymmetric unit holds Dy at (0.153, 0.250, 0.112), Dy at (0.259, 0.750, 0.538), Y at (0.318, 0.250, 0.765), Al at (0.208, 0.250, 0.340) and Al at (0.350, 0.750, 0.956).

The calculation puts the formation energy at -140 meV/atom. The energy relative to the lowest polymorph listed for this composition is 0.921 eV per formula unit.